# 1
Here is Zr2Ti5NbRu2 after structural relaxation from Alexandria. Energies are from PBE-GGA.

Geometry as POSCAR:
```
Zr2Ti5NbRu2
1.0
-1.697 2.585 -0.458
-8.885 -5.293 3.044
1.741 2.955 10.221
Zr Ti Nb Ru
4 10 2 4
Direct
0.000 0.677 0.177
0.000 0.323 0.823
0.000 0.177 0.323
0.000 0.823 0.677
0.500 0.201 0.057
0.500 0.799 0.943
0.500 0.057 0.799
0.500 0.701 0.443
0.500 0.943 0.201
0.500 0.299 0.557
0.500 0.557 0.701
0.500 0.443 0.299
0.500 0.500 0.000
0.500 0.000 0.500
0.000 0.000 0.000
0.000 0.500 0.500
0.000 0.131 0.631
0.000 0.869 0.369
0.000 0.631 0.869
0.000 0.369 0.131
```

Results
VASP energy = -8.675 eV per atom
calculated density = 6.6 g/cm³
DOS at the Fermi energy = 17.03 states/eV/f.u.
total moment = 0.001 μB/cell
energy relative to the elements = -0.16 eV/atom

# 2
Here is NbTl3Ru after structural relaxation from Alexandria. Energies are from PBE-GGA.

Geometry as POSCAR:
```
NbTl3Ru
1.0
5.412 0.000 0.000
0.000 5.412 0.000
0.000 0.000 5.412
Ru Tl Nb
1 3 1
Direct
0.500 0.500 0.500
0.000 0.500 0.000
0.000 0.000 0.500
0.500 0.000 0.000
0.000 0.000 0.000
```

Results
VASP energy = -3.796 eV per atom
energy relative to the lowest polymorph listed for this composition = 248 meV per atom
calculated density = 8.5 g/cm³
DOS at the Fermi energy = 9.93 states/eV/f.u.
total moment = 2.153 μB/cell
energy relative to the elements = 1.49 eV/atom

# 3
Here is NbTl3Ru after structural relaxation from Alexandria. Energies are from PBE-GGA.

Geometry as POSCAR:
```
NbTl3Ru
1.0
5.146 0.000 0.000
0.000 5.146 0.000
0.000 0.000 5.146
Ru Tl Nb
1 3 1
Direct
0.000 0.000 0.000
0.000 0.500 0.000
0.000 0.000 0.500
0.500 0.000 0.000
0.500 0.500 0.500
```

Results
VASP energy = -4.044 eV per atom
energy relative to the lowest polymorph listed for this composition = 0 meV per atom
calculated density = 9.8 g/cm³
DOS at the Fermi energy = 9.58 states/eV/f.u.
total moment = 0.600 μB/cell
energy relative to the elements = 1.25 eV/atom

# 4
Here is YNbTl2Ru after structural relaxation from Alexandria. Energies are from PBE-GGA.

Geometry as POSCAR:
```
YNbTl2Ru
1.0
5.194 0.000 0.000
0.000 4.847 0.000
0.000 0.000 5.194
Y Ru Tl Nb
1 1 2 1
Direct
0.500 0.500 0.500
0.000 0.000 0.000
0.000 0.000 0.500
0.500 0.000 0.000
0.000 0.500 0.000
```

Results
VASP energy = -5.585 eV per atom
calculated density = 8.8 g/cm³
DOS at the Fermi energy = 4.06 states/eV/f.u.
total moment = 0.316 μB/cell
energy relative to the elements = 0.52 eV/atom

Which of these has the lowest DOS at the Fermi energy? YNbTl2Ru